Record 1
A plane-wave DFT calculation with PBE was carried out for ZnHgCl after structural relaxation.

Calculated values
Its space-group type is F-43m, No. 216. The crystal system is cubic. Its energy is -1.239 eV/atom. For the formation energy without anion corrections, the calculation gives -98 meV per atom. The value obtained for the spin magnetization is 0.000 μB per atom. As for the distance to the lowest polymorph of the same formula: 0.261 eV per atom.

POSCAR file:
```
ZnHgCl
1.0
6.7593 0.0000 0.0000
0.0000 6.7593 0.0000
0.0000 0.0000 6.7593
Zn Hg Cl
4 4 4
Cartesian
0.0000 0.0000 0.0000
0.0000 3.3796 3.3796
3.3796 0.0000 3.3796
3.3796 3.3796 0.0000
1.6898 1.6898 1.6898
1.6898 5.0694 5.0694
5.0694 1.6898 5.0694
5.0694 5.0694 1.6898
1.6898 1.6898 5.0694
1.6898 5.0694 1.6898
5.0694 1.6898 1.6898
5.0694 5.0694 5.0694
```

---

Record 2
A plane-wave DFT calculation with PBE was carried out for ZnHg2Cl after structural relaxation.

Calculated values
Its space-group type is C2/m, No. 12. The crystal system is monoclinic. Its energy is -1.032 eV/atom. For the formation energy without anion corrections, the calculation gives -101 meV per atom. The value obtained for the spin magnetization is 0.000 μB per atom. As for the distance to the lowest polymorph of the same formula: 0.155 eV per atom.

POSCAR file:
```
ZnHg2Cl
1.0
5.6487 0.0000 0.0000
0.0000 8.7072 0.0000
-2.8021 0.0000 4.2859
Zn Hg Cl
2 4 2
Cartesian
0.0000 0.0000 0.0000
2.8244 4.3536 0.0000
0.0111 2.1768 2.1430
0.0111 6.5304 2.1430
2.8355 2.1768 2.1430
2.8355 6.5304 2.1430
0.0000 4.3536 0.0000
2.8244 0.0000 0.0000
```

---

Record 3
A plane-wave DFT calculation with PBE was carried out for Zn2HgCl after structural relaxation.

Calculated values
Its space-group type is P4mm, No. 99. The crystal system is tetragonal. Its energy is -1.284 eV/atom. For the formation energy without anion corrections, the calculation gives -110 meV per atom. The value obtained for the spin magnetization is 0.000 μB per atom. As for the distance to the lowest polymorph of the same formula: 0.108 eV per atom.

POSCAR file:
```
Zn2HgCl
1.0
3.2279 0.0000 0.0000
0.0000 3.2279 0.0000
0.0000 0.0000 8.1649
Zn Hg Cl
2 1 1
Cartesian
0.0000 0.0000 0.0000
1.6139 1.6139 1.6162
1.6139 1.6139 6.0903
0.0000 0.0000 3.1115
```

---

Record 4
A plane-wave DFT calculation with PBE was carried out for Zn2HgCl after structural relaxation.

Calculated values
Its space-group type is Pm, No. 6. The crystal system is monoclinic. Its energy is -1.380 eV/atom. For the formation energy without anion corrections, the calculation gives -205 meV per atom. The value obtained for the spin magnetization is 0.000 μB per atom. As for the distance to the lowest polymorph of the same formula: 0.013 eV per atom.

POSCAR file:
```
Zn2HgCl
1.0
5.7797 0.0000 0.0000
0.0000 3.2842 0.0000
-1.4391 0.0000 6.1965
Zn Hg Cl
2 1 1
Cartesian
0.0000 0.0000 0.0000
0.1675 1.6421 4.9944
-0.1036 1.6421 2.3184
2.1059 0.0000 5.2543
```